Density functional theory data (PBE) for an optimized crystal structure of SrCr2Se.

```
SrCr2Se
1.0
-0.638 -1.892 4.155
-4.089 -1.629 -1.369
1.532 -9.195 -1.395
Sr Cr Se
2 4 2
Cartesian
-0.734 -6.424 2.076 Sr
0.000 0.000 0.000 Sr
-1.645 -8.624 -0.344 Cr
-1.964 -9.570 1.733 Cr
-0.367 -3.212 1.038 Cr
-2.412 -4.026 0.353 Cr
-2.460 -6.292 -0.686 Se
-2.363 -1.760 1.393 Se
```

**SG**: I4_1/amd
**Total energy**: -46.55 eV/cell
**Uncorrected formation energy**: 285 meV/atom
**Crystal system**: tetragonal